# 1
First-principles (PBE) data for a relaxed structure of Ta2CrGa, as listed in Alexandria.

a b c (Å): 3.0235 3.0235 25.0841
angles (deg): 90.00 90.00 120.00
Space group R-3m (No. 166, hexagonal axes)
Inequivalent atoms, fractional coordinates:
Ta: 0.0000 0.0000 0.2431
Cr: 0.0000 0.0000 0.5000
Ga: 0.0000 0.0000 0.0000

## Properties
For the magnetic moment, the calculation gives 0.000 Bohr magnetons per cell. The value obtained for the calculated formation energy is 165 meV/atom.


# 2
First-principles (PBE) data for a relaxed structure of WBr2Cl, as listed in Alexandria.

a b c (Å): 5.276 9.278 5.072
angles (deg): 90.00 121.12 90.00
Space group C2/m (No. 12)
Inequivalent atoms, fractional coordinates:
W: 0.000 0.000 0.000
Br: 0.250 0.250 0.500
Cl: 0.000 0.500 0.000

## Properties
The distance to the lowest polymorph of the same formula is 487 kJ/mol of formula units. For the magnetic moment, the calculation gives 7.737 Bohr magnetons per cell.


N(E_F) / states/eV per cell: 6.9 6.9
VASP energy / eV/cell: -107.09 -28.26